Entry 1:
Compound: BaZrOs2
Source: Alexandria
Functional: PBE
Structure: relaxed

Structure (POSCAR):
```
BaZrOs2
1.0
3.424 0.000 0.000
0.000 3.424 0.000
0.000 0.000 8.495
Ba Os Zr
1 2 1
direct
0.500 0.500 0.787
0.000 0.000 0.101
0.500 0.500 0.211
0.000 0.000 0.401
```

Output
- crystal system = tetragonal
- symmetry = P4mm

Entry 2:
Compound: LaGdI
Source: Alexandria
Functional: PBE
Structure: relaxed

Structure (POSCAR):
```
LaGdI
1.0
3.860 0.000 0.000
0.000 5.506 0.000
0.000 -2.753 4.768
I Gd La
1 1 1
direct
0.501 0.333 0.667
0.500 0.667 0.333
0.000 0.000 0.000
```

Output
- crystal system = hexagonal
- symmetry = P-6m2

We obtain magnetic moment values of 0.01, 8.75 μB/f.u. for the records listed above, in that order.
We obtain energy above the most stable polymorph in this dataset values of 0.3525, 0.2233 eV per atom for the records listed above, in that order.